Entry 1:
This record from Alexandria via LeMat-Bulk describes a geometry-optimized InMo2Ru structure. The functional is GGA-PBE.

```
InMo2Ru
1.0
-1.6027 2.3211 4.4614
1.6027 -2.3211 4.4614
1.6027 2.3211 -4.4614
In Mo Ru
1 2 1
Direct
0.0000 0.0000 0.0000
0.2712 0.7712 0.5000
0.4938 0.4938 0.0000
0.7392 0.2392 0.5000
```

For the magnetic moment, the calculation gives 0.0 μB per formula unit. The formation enthalpy at 0 K is 258 meV/atom.

---

Entry 2:
This record from Alexandria via LeMat-Bulk describes a geometry-optimized Si2Se structure. The functional is GGA-PBE.

```
Si2Se
1.0
3.4523 -1.9571 0.0000
3.4523 1.9571 0.0000
-2.5258 0.0000 4.8896
Si Se
2 1
Direct
0.1388 0.1388 0.4273
0.8612 0.8612 0.5727
0.7280 0.2720 0.0000
```

For the magnetic moment, the calculation gives 0.0 μB per formula unit. The value obtained for the distance to the lowest polymorph of the same formula is 132 meV per atom. The calculation puts the formation energy without anion corrections at -0.04 eV/atom.

---

Entry 3:
This record from Alexandria via LeMat-Bulk describes a geometry-optimized YbH2ClO2 structure. The functional is GGA-PBE.

```
YbH2ClO2
1.0
6.3286 0.0000 0.0000
0.0000 3.6040 0.0000
-1.5723 0.0000 6.5166
Yb H Cl O
2 4 2 4
Direct
0.2234 0.2500 0.4004
0.7766 0.7500 0.5996
0.1184 0.2500 0.8091
0.3755 0.7500 0.7392
0.6245 0.2500 0.2608
0.8816 0.7500 0.1909
0.2768 0.7500 0.0766
0.7232 0.2500 0.9234
0.0384 0.2500 0.6650
0.3934 0.7500 0.5978
0.6066 0.2500 0.4022
0.9616 0.7500 0.3350
```

For the magnetic moment, the calculation gives 1.0 μB per formula unit. Its electronic total energy is -60.834 eV per cell.

---

Entry 4:
This record from Alexandria via LeMat-Bulk describes a geometry-optimized Zr5Cu structure. The functional is GGA-PBE.

```
Zr5Cu
1.0
5.8118 0.0000 0.0000
-2.9059 5.0332 0.0000
0.0000 0.0000 4.9948
Zr Cu
5 1
Direct
0.0000 0.5000 0.0000
0.3333 0.6667 0.5000
0.5000 0.0000 0.0000
0.5000 0.5000 0.0000
0.6667 0.3333 0.5000
0.0000 0.0000 0.5000
```

For the magnetic moment, the calculation gives 0.0 μB per formula unit. The value obtained for the distance to the lowest polymorph of the same formula is 759 meV per atom. The formation enthalpy at 0 K is 749 meV/atom.

---

Entry 5:
This record from Alexandria via LeMat-Bulk describes a geometry-optimized NiAgAu2 structure. The functional is GGA-PBE.

```
NiAgAu2
1.0
4.0496 0.0000 0.0000
0.0000 4.0496 0.0000
0.0000 0.0000 3.9670
Ni Ag Au
1 1 2
Direct
0.0000 0.0000 0.0000
0.5000 0.5000 0.0000
0.0000 0.5000 0.5000
0.5000 0.0000 0.5000
```

For the magnetic moment, the calculation gives 0.0 μB per formula unit. The value obtained for the distance to the lowest polymorph of the same formula is 71 meV per atom. The formation enthalpy at 0 K is 98 meV/atom.

---

Entry 6:
This record from Alexandria via LeMat-Bulk describes a geometry-optimized Tb5Al2Hg structure. The functional is GGA-PBE.

```
Tb5Al2Hg
1.0
-3.8393 3.8393 7.4740
3.8393 -3.8393 7.4740
3.8393 3.8393 -7.4740
Tb Al Hg
10 4 2
Direct
0.0000 0.0000 0.0000
0.0234 0.5234 0.8414
0.1821 0.0234 0.5000
0.3179 0.8179 0.8414
0.4766 0.3179 0.5000
0.5000 0.5000 0.0000
0.5234 0.6821 0.5000
0.6821 0.1821 0.1586
0.8179 0.9766 0.5000
0.9766 0.4766 0.1586
0.1205 0.3795 0.5000
0.3795 0.8795 0.2589
0.6205 0.1205 0.7411
0.8795 0.6205 0.5000
0.2500 0.2500 0.0000
0.7500 0.7500 0.0000
```

For the magnetic moment, the calculation gives 0.0 μB per formula unit. The formation enthalpy at 0 K is -317 meV/atom.

---

Entry 7:
This record from Alexandria via LeMat-Bulk describes a geometry-optimized CeY2Ru structure. The functional is GGA-PBE.

```
CeY2Ru
1.0
7.1252 0.0000 0.0000
0.0000 9.6368 0.0000
0.0000 0.0000 6.3664
Ce Y Ru
4 8 4
Direct
0.0532 0.2500 0.1504
0.4468 0.7500 0.6504
0.5532 0.2500 0.3496
0.9468 0.7500 0.8496
0.1722 0.0652 0.6720
0.1722 0.4348 0.6720
0.3278 0.5652 0.1720
0.3278 0.9348 0.1720
0.6722 0.0652 0.8280
0.6722 0.4348 0.8280
0.8278 0.5652 0.3280
0.8278 0.9348 0.3280
0.1363 0.7500 0.4898
0.3637 0.2500 0.9898
0.6363 0.7500 0.0102
0.8637 0.2500 0.5102
```

For the magnetic moment, the calculation gives 0.5 μB per formula unit. The value obtained for the distance to the lowest polymorph of the same formula is 0 meV per atom. The formation enthalpy at 0 K is -318 meV/atom.

---

Entry 8:
This record from Alexandria via LeMat-Bulk describes a geometry-optimized KP2Se structure. The functional is GGA-PBE.

```
KP2Se
1.0
2.8324 0.0000 0.0000
0.0000 5.1840 0.0000
0.0000 0.0000 6.2383
K P Se
1 2 1
Direct
0.0000 0.0000 0.0000
0.5000 0.5000 0.3277
0.5000 0.5000 0.6723
0.0000 0.0000 0.5000
```

For the magnetic moment, the calculation gives 0.0 μB per formula unit. The calculation puts the formation energy without anion corrections at 0.25 eV/atom.

---

Q: Look up the magnetic moment of the seventh one.
A: 0.5 μB per formula unit

---

Q: Which formula does entry 8 have?
A: KP2Se